VASP calculation (SCAN) on a crystal of KLiSb2 relaxed with PBEsol.

Output
E_form (uncorrected)	-0.437	eV/atom
excess energy over the best structure of this formula in the dataset	0.0000	eV per atom
total moment	0.000	μB per formula unit
DFT total energy	-86.987	eV/cell

Lattice parameters (Å, degrees): 4.049 5.198 6.525 101.22 90.00 112.92
Fractional coordinates of all 4 atoms:
Li 0.000 0.000 0.500
Sb 0.742 0.485 0.652
K 0.500 0.000 0.000
Sb 0.258 0.515 0.348